This record from Alexandria via LeMat-Bulk describes an optimized crystal structure of As2PbSe. The functional is GGA-PBEsol.

a b c (Å): 4.0717 4.0717 5.8925
angles (deg): 90.00 90.00 90.00
Fractional positions:
As (0.0000, 0.0000, 0.0000)
As (0.5000, 0.5000, 0.0249)
Pb (0.5000, 0.5000, 0.5046)
Se (0.0000, 0.0000, 0.5759)

Computed properties:
**ΔE_f (raw)**: -0.09 eV per formula unit
**Excess energy over the best structure of this formula in the dataset**: 0 kJ/mol of formula units
**M_tot**: 0.00 μB per formula unit
**D(E_F)**: 0.23 states/eV per atom